Here is a relaxed structure of LaMgScI2 from the Alexandria database. Energies are from PBEsol.

a = 5.4518 Å, b = 5.4518 Å, c = 5.6952 Å
α = 90.00°, β = 90.00°, γ = 90.00°
Last column: nearest neighbours and their distance in Å.
Element x y z (fractional)
I (0.0000, 0.5000, 0.0000)  2 Mg 2.73
I (0.5000, 0.0000, 0.0000)  2 Mg 2.73
La (0.5000, 0.5000, 0.5000)  4 Sc 3.86, 8 I 3.94
Mg (0.0000, 0.0000, 0.0000)  4 I 2.73, 2 Sc 2.85
Sc (0.0000, 0.0000, 0.5000)  2 Mg 2.85

Properties
For the total energy, the calculation gives -16.2 eV per cell. For the raw formation energy, the calculation gives 0.195 eV/atom. As for the total magnetic moment: 1.779 μB per formula unit. The symmetry is P4/mmm (123).

Here is a relaxed structure of LaMgTe2I from the Alexandria database. Energies are from PBEsol.

a = 6.0413 Å, b = 6.1023 Å, c = 6.1023 Å
α = 90.00°, β = 90.00°, γ = 90.00°
Last column: nearest neighbours and their distance in Å.
Element x y z (fractional)
Te (0.0000, 0.5000, 0.0000)  2 La 3.05
Te (0.0000, 0.0000, 0.5000)  2 La 3.05
Mg (0.5000, 0.5000, 0.5000)  8 Te 4.29, 4 I 4.32
I (0.5000, 0.0000, 0.0000)  2 La 3.02
La (0.0000, 0.0000, 0.0000)  2 I 3.02, 4 Te 3.05

Properties
For the total energy, the calculation gives -17.8 eV per cell. For the raw formation energy, the calculation gives -0.383 eV/atom. As for the total magnetic moment: 0.000 μB per formula unit. The symmetry is P4/mmm (123).

Here is a relaxed structure of LaMg2TiI from the Alexandria database. Energies are from PBEsol.

a = 4.9103 Å, b = 6.1400 Å, c = 6.1400 Å
α = 90.00°, β = 90.00°, γ = 90.00°
Last column: nearest neighbours and their distance in Å.
Element x y z (fractional)
Mg (0.0000, 0.0000, 0.5000)  2 La 3.07
Mg (0.0000, 0.5000, 0.0000)  2 La 3.07
La (0.0000, 0.0000, 0.0000)  2 Ti 2.46
Ti (0.5000, 0.0000, 0.0000)  2 La 2.46
I (0.5000, 0.5000, 0.5000)  8 Mg 3.93, 4 Ti 4.34

Properties
For the total energy, the calculation gives -13.3 eV per cell. For the raw formation energy, the calculation gives 1.105 eV/atom. As for the total magnetic moment: 0.011 μB per formula unit. The symmetry is P4/mmm (123).

Here is a relaxed structure of LaMn3I from the Alexandria database. Energies are from PBEsol.

a = 4.7936 Å, b = 4.7936 Å, c = 4.7936 Å
α = 90.00°, β = 90.00°, γ = 90.00°
Last column: nearest neighbours and their distance in Å.
Element x y z (fractional)
Mn (0.0000, 0.0000, 0.5000)  2 La 2.40
Mn (0.0000, 0.5000, 0.0000)  2 La 2.40
Mn (0.5000, 0.0000, 0.0000)  2 La 2.40
La (0.0000, 0.0000, 0.0000)  6 Mn 2.40
I (0.5000, 0.5000, 0.5000)  12 Mn 3.39

Properties
For the total energy, the calculation gives -27.9 eV per cell. For the raw formation energy, the calculation gives 1.697 eV/atom. As for the total magnetic moment: 8.823 μB per formula unit. The calculation puts the energy relative to the lowest polymorph listed for this composition at 649 meV/atom. The symmetry is Pm-3m (221).

Here is a relaxed structure of LaMn3I from the Alexandria database. Energies are from PBEsol.

a = 4.7882 Å, b = 4.7882 Å, c = 4.7882 Å
α = 90.00°, β = 90.00°, γ = 90.00°
Last column: nearest neighbours and their distance in Å.
Element x y z (fractional)
Mn (0.5000, 0.0000, 0.0000)  2 I 2.39
Mn (0.0000, 0.0000, 0.5000)  2 I 2.39
Mn (0.0000, 0.5000, 0.0000)  2 I 2.39
I (0.0000, 0.0000, 0.0000)  6 Mn 2.39
La (0.5000, 0.5000, 0.5000)  12 Mn 3.39

Properties
For the total energy, the calculation gives -31.2 eV per cell. For the raw formation energy, the calculation gives 1.047 eV/atom. As for the total magnetic moment: 7.742 μB per formula unit. The calculation puts the energy relative to the lowest polymorph listed for this composition at 0 meV/atom. The symmetry is Pm-3m (221).

Here is a relaxed structure of LaMnPt2I from the Alexandria database. Energies are from PBEsol.

a = 5.2050 Å, b = 5.2050 Å, c = 6.0091 Å
α = 90.00°, β = 90.00°, γ = 90.00°
Last column: nearest neighbours and their distance in Å.
Element x y z (fractional)
Pt (0.5000, 0.0000, 0.0000)  2 La 2.60
Pt (0.0000, 0.5000, 0.0000)  2 La 2.60
La (0.0000, 0.0000, 0.0000)  4 Pt 2.60
I (0.0000, 0.0000, 0.5000)  2 La 3.00
Mn (0.5000, 0.5000, 0.5000)  4 I 3.68, 8 Pt 3.97

Properties
For the total energy, the calculation gives -26.3 eV per cell. For the raw formation energy, the calculation gives 0.894 eV/atom. As for the total magnetic moment: 5.057 μB per formula unit. The symmetry is P4/mmm (123).

Here is a relaxed structure of LaMnTl2I from the Alexandria database. Energies are from PBEsol.

a = 5.0692 Å, b = 5.0692 Å, c = 5.3747 Å
α = 90.00°, β = 90.00°, γ = 90.00°
Last column: nearest neighbours and their distance in Å.
Element x y z (fractional)
La (0.5000, 0.5000, 0.5000)  4 I 3.58, 8 Tl 3.69
Tl (0.0000, 0.5000, 0.0000)  2 Mn 2.53
Tl (0.5000, 0.0000, 0.0000)  2 Mn 2.53
Mn (0.0000, 0.0000, 0.0000)  4 Tl 2.53, 2 I 2.69
I (0.0000, 0.0000, 0.5000)  2 Mn 2.69

Properties
For the total energy, the calculation gives -21.6 eV per cell. For the raw formation energy, the calculation gives 0.106 eV/atom. As for the total magnetic moment: 2.929 μB per formula unit. The symmetry is P4/mmm (123).

Here is a relaxed structure of LaMoI3 from the Alexandria database. Energies are from PBEsol.

a = 6.1375 Å, b = 6.1375 Å, c = 6.1375 Å
α = 90.00°, β = 90.00°, γ = 90.00°
Last column: nearest neighbours and their distance in Å.
Element x y z (fractional)
Mo (0.5000, 0.5000, 0.5000)  12 I 4.34
I (0.0000, 0.0000, 0.5000)  2 La 3.07
I (0.0000, 0.5000, 0.0000)  2 La 3.07
I (0.5000, 0.0000, 0.0000)  2 La 3.07
La (0.0000, 0.0000, 0.0000)  6 I 3.07

Properties
For the total energy, the calculation gives -21.2 eV per cell. For the raw formation energy, the calculation gives 0.242 eV/atom. As for the total magnetic moment: 5.984 μB per formula unit. The symmetry is Pm-3m (221).